Record 1
{"formula": "Ga2Tc2H", "functional": "PBE", "state": "relaxed", "total_energy_ha_per_atom": -0.21995, "lattice_angstrom": [[5.5327, 0.0000, 0.0000], [0.0000, 5.5327, 0.0000], [0.0000, 0.0000, 4.2778]], "species": ["Tc", "Tc", "Tc", "Tc", "Ga", "Ga", "Ga", "Ga", "H", "H"], "frac_coords": [[0.6666, 0.1666, 0.0000], [0.1666, 0.3334, 0.0000], [0.3334, 0.8334, 0.0000], [0.8334, 0.6666, 0.0000], [0.8382, 0.3382, 0.5000], [0.3382, 0.1618, 0.5000], [0.1618, 0.6618, 0.5000], [0.6618, 0.8382, 0.5000], [0.5000, 0.5000, 0.0000], [0.0000, 0.0000, 0.0000]]}

=====

Record 2
{"formula": "PaAgAu6", "functional": "PBE", "state": "relaxed", "e_form_ev_per_fu": 2.76, "total_energy_ha_per_atom": -0.13438, "lattice_angstrom": [[-1.7593, -4.2517, -3.0512], [3.6307, -3.0847, -2.7902], [1.5018, -8.1726, 5.5270]], "species": ["Au", "Au", "Au", "Au", "Au", "Au", "Pa", "Ag"], "frac_coords": [[0.7547, 0.2484, 0.7484], [0.7516, 0.2453, 0.2516], [0.7516, 0.7516, 0.2516], [0.2484, 0.7547, 0.7484], [0.2453, 0.7516, 0.2516], [0.2484, 0.2484, 0.7484], [0.5000, 0.5000, 0.5000], [0.0000, 0.0000, 0.0000]]}

=====

Record 3
{"formula": "Tb12Sm2Zr", "functional": "PBE", "state": "relaxed", "e_form_ev_per_fu": 2.20, "total_energy_ha_per_atom": -0.17479, "lattice_angstrom": [[-5.9038, 0.4326, 3.1022], [-4.1068, -5.2170, -0.7630], [8.7124, -7.9764, 20.9711]], "species": ["Tb", "Tb", "Tb", "Tb", "Tb", "Tb", "Tb", "Tb", "Tb", "Tb", "Tb", "Tb", "Tb", "Tb", "Tb", "Tb", "Tb", "Tb", "Tb", "Tb", "Tb", "Tb", "Tb", "Tb", "Zr", "Zr", "Sm", "Sm", "Sm", "Sm"], "frac_coords": [[0.4421, 0.5541, 0.3261], [0.9894, 0.0114, 0.8056], [0.3326, 0.6751, 0.0646], [0.0114, 0.9894, 0.1944], [0.8570, 0.1529, 0.5565], [0.8389, 0.6611, 0.5796], [0.1529, 0.8570, 0.4435], [0.6751, 0.3326, 0.9354], [0.0579, 0.9459, 0.6739], [0.5541, 0.4421, 0.6739], [0.3471, 0.6430, 0.5565], [0.2364, 0.2636, 0.8810], [0.9459, 0.0579, 0.3261], [0.1674, 0.8249, 0.9354], [0.6430, 0.3471, 0.4435], [0.8249, 0.1674, 0.0646], [0.6611, 0.8389, 0.4204], [0.7679, 0.7321, 0.1208], [0.5106, 0.4886, 0.1944], [0.3516, 0.1484, 0.5719], [0.7321, 0.7679, 0.8792], [0.4886, 0.5106, 0.8056], [0.2636, 0.2364, 0.1190], [0.1484, 0.3516, 0.4281], [0.4810, 0.0190, 0.9967], [0.0190, 0.4810, 0.0033], [0.9672, 0.5328, 0.2655], [0.0273, 0.4727, 0.7334], [0.5328, 0.9672, 0.7345], [0.4727, 0.0273, 0.2666]]}

=====

Record 4
{"formula": "TiFeCo2H", "functional": "PBE", "state": "relaxed", "total_energy_ha_per_atom": -0.25638, "lattice_angstrom": [[3.6029, 0.0000, 0.0000], [0.0000, 3.6029, 0.0000], [0.0000, 0.0000, 3.8055]], "species": ["Co", "Co", "H", "Fe", "Ti"], "frac_coords": [[0.0000, 0.5000, 0.0000], [0.5000, 0.0000, 0.0000], [0.0000, 0.0000, 0.0000], [0.5000, 0.5000, 0.5000], [0.0000, 0.0000, 0.5000]]}

=====

Record 5
{"formula": "EuSiO2", "functional": "PBE", "state": "relaxed", "raw_formation_energy_ev_per_atom": -1.285, "total_energy_ha_per_atom": -0.28254, "lattice_angstrom": [[2.9902, 0.0000, 0.0000], [1.4951, 2.5895, 0.0000], [1.4951, 0.8632, 7.1840]], "species": ["Si", "O", "O", "Eu"], "frac_coords": [[0.5000, 0.5000, 0.5000], [0.1261, 0.1261, 0.6216], [0.8739, 0.8739, 0.3784], [0.0000, 0.0000, 0.0000]]}

=====

Record 6
{"formula": "KGa6Au", "functional": "PBE", "state": "relaxed", "e_form_ev_per_fu": -1.57, "total_energy_ha_per_atom": -0.11072, "lattice_angstrom": [[-2.6366, 1.2665, -3.5539], [1.6982, -3.4733, -2.4977], [-5.9696, -4.8584, 2.6974]], "species": ["K", "Ga", "Ga", "Ga", "Ga", "Ga", "Ga", "Au"], "frac_coords": [[0.0000, 0.0000, 0.0000], [0.0000, 0.5000, 0.3266], [0.5000, 0.5000, 0.1581], [0.5000, 0.0000, 0.3266], [0.0000, 0.5000, 0.6734], [0.5000, 0.5000, 0.8419], [0.5000, 0.0000, 0.6734], [0.0000, 0.0000, 0.5000]]}

=====

Record 7
{"formula": "BaCr2Ru", "functional": "PBE", "state": "relaxed", "e_form_ev_per_fu": 3.83, "total_energy_ha_per_atom": -0.24453, "lattice_angstrom": [[-4.6468, 2.3678, 1.5709], [-2.5693, -4.7873, -0.3841], [-1.8726, -2.7378, 8.0299]], "species": ["Ru", "Ru", "Cr", "Cr", "Cr", "Cr", "Ba", "Ba"], "frac_coords": [[0.5000, 0.5000, 0.0000], [0.2500, 0.7500, 0.5000], [0.8750, 0.6250, 0.7500], [0.3750, 0.6250, 0.2500], [0.3750, 0.1250, 0.2500], [0.3750, 0.6250, 0.7500], [0.0000, 0.0000, 0.0000], [0.7500, 0.2500, 0.5000]]}

=====

Record 8
{"formula": "Pm2TlCuSe4", "functional": "PBE", "state": "relaxed", "raw_formation_energy_ev_per_atom": -1.318, "total_energy_ha_per_atom": -0.18581, "lattice_angstrom": [[4.1943, 0.0000, 0.0000], [-2.0972, 7.2046, 0.0000], [0.0000, 0.0000, 14.5952]], "species": ["Pm", "Pm", "Pm", "Pm", "Se", "Se", "Se", "Se", "Se", "Se", "Se", "Se", "Tl", "Tl", "Cu", "Cu"], "frac_coords": [[0.6344, 0.2687, 0.0642], [0.3656, 0.7313, 0.9358], [0.6344, 0.2687, 0.4358], [0.3656, 0.7313, 0.5642], [0.7349, 0.4698, 0.6149], [0.2651, 0.5302, 0.3851], [0.7349, 0.4698, 0.8851], [0.0000, 0.0000, 0.5000], [0.2651, 0.5302, 0.1149], [0.5650, 0.1301, 0.2500], [0.0000, 0.0000, 0.0000], [0.4350, 0.8699, 0.7500], [0.8892, 0.7785, 0.2500], [0.1108, 0.2215, 0.7500], [0.1601, 0.3203, 0.2500], [0.8399, 0.6797, 0.7500]]}